An optimized crystal structure of NpPaH4. Source: Alexandria via LeMat-Bulk, functional GGA-PBE.

Results
- Volume: 66.6 Å³/f.u.
- Space group: No. 8
- Spin magnetization: 4.304 μB/f.u.
- DFT total energy: -6.171 eV/atom

POSCAR file:
```
NpPaH4
1.0
3.417 -1.791 0.000
3.417 1.791 0.000
-3.233 0.000 5.441
Np Pa H
1 1 4
Direct
0.000 0.000 0.000
0.382 0.382 0.453
0.021 0.021 0.363
0.358 0.358 0.084
0.610 0.610 0.863
0.769 0.769 0.596
```

An optimized crystal structure of Pr6DyYTm2. Source: Alexandria via LeMat-Bulk, functional GGA-PBE.

Results
- Volume: 344.6 Å³/f.u.
- Space group: No. 15
- Spin magnetization: 0.000 μB/f.u.
- Calculated formation energy: 0.113 eV per atom
- DFT total energy: -4.755 eV/atom

POSCAR file:
```
Pr6DyYTm2
1.0
4.652 -7.695 0.000
4.652 7.695 0.000
-1.319 0.000 9.626
Pr Dy Y Tm
12 2 2 4
Direct
0.010 0.563 0.186
0.113 0.763 0.554
0.237 0.887 0.946
0.294 0.511 0.381
0.437 0.990 0.314
0.489 0.706 0.119
0.511 0.294 0.881
0.563 0.010 0.686
0.706 0.489 0.619
0.763 0.113 0.054
0.887 0.237 0.446
0.990 0.437 0.814
0.029 0.971 0.250
0.971 0.029 0.750
0.410 0.590 0.750
0.590 0.410 0.250
0.200 0.295 0.047
0.295 0.200 0.547
0.705 0.800 0.453
0.800 0.705 0.953
```

An optimized crystal structure of La2HPdPt6. Source: Alexandria via LeMat-Bulk, functional GGA-PBE.

Results
- Volume: 181.1 Å³/f.u.
- Space group: No. 166
- Spin magnetization: 0.000 μB/f.u.
- DFT total energy: -6.179 eV/atom

POSCAR file:
```
La2HPdPt6
1.0
2.825 1.631 6.547
-2.825 1.631 6.547
0.000 -3.262 6.547
La H Pd Pt
2 1 1 6
Direct
0.216 0.216 0.216
0.784 0.784 0.784
0.000 0.000 0.000
0.500 0.500 0.500
0.228 0.228 0.722
0.228 0.722 0.228
0.278 0.772 0.772
0.722 0.228 0.228
0.772 0.278 0.772
0.772 0.772 0.278
```

An optimized crystal structure of NdTl3Sb2Te6. Source: Alexandria via LeMat-Bulk, functional GGA-PBE.

Results
- Volume: 428.0 Å³/f.u.
- Space group: No. 12
- Spin magnetization: 0.000 μB/f.u.
- Raw formation energy: -0.5019 eV/atom
- DFT total energy: -3.749 eV/atom

POSCAR file:
```
NdTl3Sb2Te6
1.0
3.929 -6.796 0.000
3.929 6.796 0.000
-2.617 0.000 8.014
Nd Tl Sb Te
1 3 2 6
Direct
0.000 0.000 0.000
0.163 0.837 0.500
0.500 0.500 0.500
0.837 0.163 0.500
0.333 0.667 0.000
0.667 0.333 0.000
0.073 0.415 0.217
0.271 0.271 0.787
0.415 0.073 0.217
0.585 0.927 0.783
0.729 0.729 0.213
0.927 0.585 0.783
```

An optimized crystal structure of La2Ti3O9. Source: Alexandria via LeMat-Bulk, functional GGA-PBE.

Results
- Volume: 205.0 Å³/f.u.
- Space group: No. 4
- Spin magnetization: 0.000 μB/f.u.
- Raw formation energy: -3.2197 eV/atom
- DFT total energy: -8.803 eV/atom

POSCAR file:
```
La2Ti3O9
1.0
8.525 0.000 0.000
0.000 5.938 0.000
-3.094 0.000 8.101
La Ti O
4 6 18
Direct
0.183 0.000 0.077
0.203 0.497 0.760
0.797 0.997 0.240
0.817 0.500 0.923
0.106 0.478 0.311
0.477 0.926 0.815
0.493 0.740 0.472
0.507 0.240 0.528
0.523 0.426 0.185
0.894 0.978 0.689
0.004 0.246 0.169
0.010 0.720 0.179
0.042 0.459 0.480
0.310 0.359 0.041
0.341 0.850 0.926
0.347 0.960 0.380
0.349 0.461 0.382
0.404 0.701 0.665
0.416 0.204 0.700
0.584 0.704 0.300
0.596 0.201 0.335
0.651 0.961 0.618
0.653 0.460 0.620
0.659 0.350 0.074
0.690 0.859 0.959
0.958 0.959 0.520
0.990 0.220 0.821
0.996 0.746 0.831
```

An optimized crystal structure of Tc2TeCl. Source: Alexandria via LeMat-Bulk, functional GGA-PBE.

Results
- Volume: 80.4 Å³/f.u.
- Space group: No. 160
- Spin magnetization: 0.000 μB/f.u.
- Raw formation energy: 0.1724 eV/atom
- DFT total energy: -6.258 eV/atom

POSCAR file:
```
Tc2TeCl
1.0
1.540 0.889 9.790
-1.540 0.889 9.790
0.000 -1.778 9.790
Tc Te Cl
2 1 1
Direct
0.000 0.000 0.000
0.264 0.264 0.264
0.738 0.738 0.738
0.536 0.536 0.536
```